[1]
Computed, not measured: an optimized crystal structure of PmPr2Pu at the PBE level of DFT.

Structure (POSCAR):
```
PmPr2Pu
1.0
5.1051 0.0000 0.0000
0.0000 5.1185 0.0000
0.0000 0.0000 5.1185
Pu Pr Pm
1 2 1
direct
0.5000 0.0000 0.0000
0.0000 0.5000 0.0000
0.0000 0.0000 0.5000
0.5000 0.5000 0.5000
```

Properties
Volume = 133.7 Å³/f.u.
Space-group type = P4/mmm
Offset from the most stable computed form = 36 meV/atom
Energy of formation = 0.157 eV/atom

=====

[2]
Computed, not measured: an optimized crystal structure of Pm4Pr5Pu at the PBE level of DFT.

Structure (POSCAR):
```
Pm4Pr5Pu
1.0
-3.5398 3.0989 -1.1344
-0.4794 -3.5243 -8.1319
-3.6172 -4.7628 8.5987
Pm Pr Pu
4 5 1
direct
0.0373 0.2981 0.0746
0.3228 0.5643 0.6457
0.6772 0.4357 0.3543
0.9627 0.7019 0.9254
0.8107 0.2336 0.6214
0.5000 0.5000 0.0000
0.1460 0.0947 0.2919
0.1893 0.7664 0.3786
0.8540 0.9053 0.7081
0.5000 0.0000 0.0000
```

Properties
Volume = 360.2 Å³/f.u.
Space-group type = C2/m
Energy of formation = 0.252 eV/atom

=====

[3]
Computed, not measured: an optimized crystal structure of PmPr14Pu at the PBE level of DFT.

Structure (POSCAR):
```
PmPr14Pu
1.0
7.3203 0.9823 0.0000
-0.9820 7.3204 0.0000
0.0000 0.0000 10.4301
Pr Pu Pm
14 1 1
direct
0.1229 0.3729 0.7542
0.1229 0.8771 0.7540
0.1229 0.8771 0.2460
0.6271 0.3729 0.7543
0.6271 0.8771 0.7542
0.3751 0.6249 0.5000
0.8752 0.6252 0.0000
0.3748 0.1248 0.0000
0.6271 0.8771 0.2458
0.3750 0.1250 0.5000
0.6271 0.3729 0.2457
0.8749 0.1251 0.5000
0.1229 0.3729 0.2458
0.8750 0.6250 0.5000
0.8749 0.1251 0.0000
0.3750 0.6250 0.0000
```

Properties
Volume = 569.0 Å³/f.u.
Space-group type = P4/mmm
Energy of formation = 0.043 eV/atom

=====

[4]
Computed, not measured: an optimized crystal structure of PmPr2Pu at the PBE level of DFT.

Structure (POSCAR):
```
PmPr2Pu
1.0
3.5458 0.0000 0.0000
1.7729 3.0708 0.0000
1.7729 1.0236 12.6239
Pr Pm Pu
2 1 1
direct
0.0873 0.0873 0.7382
0.9127 0.9127 0.2618
0.5000 0.5000 0.5000
0.0000 0.0000 0.0000
```

Properties
Volume = 137.5 Å³/f.u.
Space-group type = R-3m
Offset from the most stable computed form = 150 meV/atom
Energy of formation = 0.271 eV/atom

=====

- Number 1 is which compound?
  PmPr2Pu

=====

What did the fourth record say?
Computed, not measured: an optimized crystal structure of PmPr2Pu at the PBE level of DFT.

Structure (POSCAR):
```
PmPr2Pu
1.0
3.5458 0.0000 0.0000
1.7729 3.0708 0.0000
1.7729 1.0236 12.6239
Pr Pm Pu
2 1 1
direct
0.0873 0.0873 0.7382
0.9127 0.9127 0.2618
0.5000 0.5000 0.5000
0.0000 0.0000 0.0000
```

Properties
Volume = 137.5 Å³/f.u.
Space-group type = R-3m
Offset from the most stable computed form = 150 meV/atom
Energy of formation = 0.271 eV/atom

=====

- Look up the volume of the first one.
  133.7 Å³/f.u.